1.
A plane-wave DFT calculation with GGA-PBE was carried out for a geometry-optimized MgCu2Tc structure.

The space group is I-42d (No. 122) and the conventional cell measures 3.679, 3.679 and 18.015 Å, with angles of 90.00, 90.00 and 90.00 degrees. The asymmetric unit holds Mg at (0.000, 0.000, 0.000), Cu at (0.241, 0.250, 0.625) and Tc at (0.000, 0.000, 0.500).

The value obtained for the calculated formation energy is 0.66 eV/atom.

=====

2.
A plane-wave DFT calculation with GGA-PBE was carried out for a geometry-optimized TcOs2I structure.

The space group is Fm-3m (No. 225) and the conventional cell measures 6.443, 6.443 and 6.443 Å, with angles of 90.00, 90.00 and 90.00 degrees. The asymmetric unit holds Tc at (0.000, 0.000, 0.000), Os at (0.250, 0.250, 0.250) and I at (0.000, 0.000, 0.500).

The formation energy without anion corrections comes out at 577 kJ/mol of formula units. For the energy above the most stable polymorph in this dataset, the calculation gives 67 meV/atom.

=====

3.
A plane-wave DFT calculation with GGA-PBE was carried out for a geometry-optimized Pr5Bi4Se structure.

The space group is I4/mmm (No. 139) and the conventional cell measures 4.582, 4.582 and 32.276 Å, with angles of 90.00, 90.00 and 90.00 degrees. The asymmetric unit holds Pr at (0.000, 0.000, 0.000), Pr at (0.000, 0.000, 0.201), Pr at (0.000, 0.000, 0.405), Bi at (0.000, 0.000, 0.099), Bi at (0.000, 0.000, 0.302) and Se at (0.000, 0.000, 0.500).

The formation energy without anion corrections comes out at -1077 kJ/mol of formula units.

=====

One value per record, in order, for E: -4.380 -7.098 -5.407 eV per atom.